[1]
Computed, not measured: a relaxed structure of KLi2Ag at the GGA-PBE level of DFT.

Values from the calculation:
* energy relative to the elements: 0.16 eV/atom

```
data_KLi2Ag
_space_group_name_H-M_alt 'P 1'
_space_group_IT_number 1
_space_group_name_Hall 'P 1'
_cell_length_a 5.8258
_cell_length_b 5.8258
_cell_length_c 5.8258
_cell_angle_alpha 132.23
_cell_angle_beta 132.23
_cell_angle_gamma 69.86
loop_
_atom_site_label
_atom_site_type_symbol
_atom_site_fract_x
_atom_site_fract_y
_atom_site_fract_z
K1 K 0.0000 0.0000 0.0000
Li1 Li 0.2500 0.7500 0.5000
Li2 Li 0.5000 0.5000 0.0000
Ag1 Ag 0.7500 0.2500 0.5000
```

=====

[2]
Computed, not measured: a relaxed structure of PmZrF6 at the GGA-PBE level of DFT.

```
data_PmZrF6
_space_group_name_H-M_alt 'P 1'
_space_group_IT_number 1
_space_group_name_Hall 'P 1'
_cell_length_a 5.5426
_cell_length_b 5.6566
_cell_length_c 5.9664
_cell_angle_alpha 64.99
_cell_angle_beta 68.31
_cell_angle_gamma 63.56
loop_
_atom_site_label
_atom_site_type_symbol
_atom_site_fract_x
_atom_site_fract_y
_atom_site_fract_z
Pm1 Pm 0.0000 0.0000 0.0000
Zr1 Zr 0.5000 0.5000 0.5000
F1 F 0.1674 0.3486 0.7324
F2 F 0.2770 0.8840 0.2609
F3 F 0.3332 0.7291 0.7614
F4 F 0.6668 0.2709 0.2386
F5 F 0.7230 0.1160 0.7391
F6 F 0.8326 0.6514 0.2676
```

=====

[3]
Computed, not measured: a relaxed structure of MgTcHg2 at the GGA-PBE level of DFT.

Values from the calculation:
* energy relative to the elements: 0.35 eV/atom

```
data_MgTcHg2
_space_group_name_H-M_alt 'P 1'
_space_group_IT_number 1
_space_group_name_Hall 'P 1'
_cell_length_a 3.0957
_cell_length_b 4.0592
_cell_length_c 6.0208
_cell_angle_alpha 90.00
_cell_angle_beta 90.00
_cell_angle_gamma 90.00
loop_
_atom_site_label
_atom_site_type_symbol
_atom_site_fract_x
_atom_site_fract_y
_atom_site_fract_z
Mg1 Mg 0.0000 0.0000 0.0000
Tc1 Tc 0.0000 0.0000 0.5000
Hg1 Hg 0.5000 0.5000 0.2563
Hg2 Hg 0.5000 0.5000 0.7437
```

=====

[4]
Computed, not measured: a relaxed structure of Na2PaSe2O2 at the GGA-PBE level of DFT.

```
data_Na2PaSe2O2
_space_group_name_H-M_alt 'P 1'
_space_group_IT_number 1
_space_group_name_Hall 'P 1'
_cell_length_a 6.9384
_cell_length_b 6.9384
_cell_length_c 6.2276
_cell_angle_alpha 116.32
_cell_angle_beta 116.32
_cell_angle_gamma 35.36
loop_
_atom_site_label
_atom_site_type_symbol
_atom_site_fract_x
_atom_site_fract_y
_atom_site_fract_z
Na1 Na 0.2286 0.2286 0.2627
Na2 Na 0.7714 0.7714 0.7373
Pa1 Pa 0.0000 0.0000 0.5000
Se1 Se 0.4263 0.4263 0.1197
Se2 Se 0.5737 0.5737 0.8803
O1 O 0.1532 0.1532 0.5359
O2 O 0.8468 0.8468 0.4641
```

=====

[5]
Computed, not measured: a relaxed structure of ZrCrPt2Br at the GGA-PBE level of DFT.

```
data_ZrCrPt2Br
_space_group_name_H-M_alt 'P 1'
_space_group_IT_number 1
_space_group_name_Hall 'P 1'
_cell_length_a 4.7797
_cell_length_b 4.7797
_cell_length_c 4.8416
_cell_angle_alpha 90.00
_cell_angle_beta 90.00
_cell_angle_gamma 90.00
loop_
_atom_site_label
_atom_site_type_symbol
_atom_site_fract_x
_atom_site_fract_y
_atom_site_fract_z
Zr1 Zr 0.0000 0.0000 0.0000
Cr1 Cr 0.5000 0.5000 0.0000
Pt1 Pt 0.0000 0.5000 0.5000
Pt2 Pt 0.5000 0.0000 0.5000
Br1 Br 0.0000 0.0000 0.5000
```

=====

[6]
Computed, not measured: a relaxed structure of Li2ZnGa4 at the GGA-PBE level of DFT.

Values from the calculation:
* relative energy among the computed polymorphs: 0.41 kcal/mol of atoms
* energy relative to the elements: -0.13 eV/atom

```
data_Li2ZnGa4
_space_group_name_H-M_alt 'P 1'
_space_group_IT_number 1
_space_group_name_Hall 'P 1'
_cell_length_a 8.8826
_cell_length_b 8.8826
_cell_length_c 8.8826
_cell_angle_alpha 60.00
_cell_angle_beta 60.00
_cell_angle_gamma 60.00
loop_
_atom_site_label
_atom_site_type_symbol
_atom_site_fract_x
_atom_site_fract_y
_atom_site_fract_z
Li1 Li 0.1777 0.7741 0.7741
Li2 Li 0.2259 0.2259 0.2259
Li3 Li 0.2259 0.2259 0.8223
Li4 Li 0.2259 0.8223 0.2259
Li5 Li 0.7741 0.1777 0.7741
Li6 Li 0.7741 0.7741 0.1777
Li7 Li 0.7741 0.7741 0.7741
Li8 Li 0.8223 0.2259 0.2259
Zn1 Zn 0.0000 0.5000 0.5000
Zn2 Zn 0.5000 0.0000 0.5000
Zn3 Zn 0.5000 0.5000 0.0000
Zn4 Zn 0.5000 0.5000 0.5000
Ga1 Ga 0.0000 0.0000 0.0000
Ga2 Ga 0.0000 0.0000 0.5000
Ga3 Ga 0.0000 0.5000 0.0000
Ga4 Ga 0.1365 0.1365 0.6135
Ga5 Ga 0.1365 0.6135 0.1365
Ga6 Ga 0.1365 0.6135 0.6135
Ga7 Ga 0.3865 0.3865 0.8635
Ga8 Ga 0.3865 0.8635 0.3865
Ga9 Ga 0.3865 0.8635 0.8635
Ga10 Ga 0.5000 0.0000 0.0000
Ga11 Ga 0.6135 0.1365 0.1365
Ga12 Ga 0.6135 0.1365 0.6135
Ga13 Ga 0.6135 0.6135 0.1365
Ga14 Ga 0.8635 0.3865 0.3865
Ga15 Ga 0.8635 0.3865 0.8635
Ga16 Ga 0.8635 0.8635 0.3865
```

=====

[7]
Computed, not measured: a relaxed structure of Fe2Ag3I8 at the GGA-PBE level of DFT.

```
data_Fe2Ag3I8
_space_group_name_H-M_alt 'P 1'
_space_group_IT_number 1
_space_group_name_Hall 'P 1'
_cell_length_a 8.4535
_cell_length_b 8.4535
_cell_length_c 7.4493
_cell_angle_alpha 105.68
_cell_angle_beta 105.68
_cell_angle_gamma 62.31
loop_
_atom_site_label
_atom_site_type_symbol
_atom_site_fract_x
_atom_site_fract_y
_atom_site_fract_z
Fe1 Fe 0.1836 0.1836 0.1302
Fe2 Fe 0.8164 0.8164 0.8698
Ag1 Ag 0.2214 0.7786 0.5000
Ag2 Ag 0.5000 0.5000 0.0000
Ag3 Ag 0.7786 0.2214 0.5000
I1 I 0.1218 0.6296 0.7461
I2 I 0.1379 0.1379 0.7666
I3 I 0.3704 0.8782 0.2539
I4 I 0.3759 0.3759 0.2591
I5 I 0.6241 0.6241 0.7409
I6 I 0.6296 0.1218 0.7461
I7 I 0.8621 0.8621 0.2334
I8 I 0.8782 0.3704 0.2539
```

=====

[8]
Computed, not measured: a relaxed structure of PrH2I at the GGA-PBE level of DFT.

Values from the calculation:
* relative energy among the computed polymorphs: 14.50 kcal/mol of atoms

```
data_PrH2I
_space_group_name_H-M_alt 'P 1'
_space_group_IT_number 1
_space_group_name_Hall 'P 1'
_cell_length_a 3.3393
_cell_length_b 3.3393
_cell_length_c 6.7501
_cell_angle_alpha 90.00
_cell_angle_beta 90.00
_cell_angle_gamma 90.00
loop_
_atom_site_label
_atom_site_type_symbol
_atom_site_fract_x
_atom_site_fract_y
_atom_site_fract_z
Pr1 Pr 0.0000 0.0000 0.0000
H1 H 0.5000 0.5000 0.1470
H2 H 0.5000 0.5000 0.8530
I1 I 0.0000 0.0000 0.5000
```

=====

[9]
Computed, not measured: a relaxed structure of Li4Sm3ZrSe8 at the GGA-PBE level of DFT.

```
data_Li4Sm3ZrSe8
_space_group_name_H-M_alt 'P 1'
_space_group_IT_number 1
_space_group_name_Hall 'P 1'
_cell_length_a 8.0376
_cell_length_b 8.0376
_cell_length_c 8.0376
_cell_angle_alpha 60.63
_cell_angle_beta 60.63
_cell_angle_gamma 60.63
loop_
_atom_site_label
_atom_site_type_symbol
_atom_site_fract_x
_atom_site_fract_y
_atom_site_fract_z
Li1 Li 0.0000 0.0000 0.0000
Li2 Li 0.0000 0.5000 0.5000
Li3 Li 0.5000 0.0000 0.5000
Li4 Li 0.5000 0.5000 0.0000
Sm1 Sm 0.0000 0.0000 0.5000
Sm2 Sm 0.0000 0.5000 0.0000
Sm3 Sm 0.5000 0.0000 0.0000
Zr1 Zr 0.5000 0.5000 0.5000
Se1 Se 0.2544 0.2544 0.2544
Se2 Se 0.2565 0.2565 0.7322
Se3 Se 0.2565 0.7322 0.2565
Se4 Se 0.2678 0.7435 0.7435
Se5 Se 0.7322 0.2565 0.2565
Se6 Se 0.7435 0.2678 0.7435
Se7 Se 0.7435 0.7435 0.2678
Se8 Se 0.7456 0.7456 0.7456
```

=====

[10]
Computed, not measured: a relaxed structure of Pm4Sm3Ho5 at the GGA-PBE level of DFT.

Values from the calculation:
* relative energy among the computed polymorphs: 0.00 kcal/mol of atoms
* energy relative to the elements: 0.02 eV/atom

```
data_Pm4Sm3Ho5
_space_group_name_H-M_alt 'P 1'
_space_group_IT_number 1
_space_group_name_Hall 'P 1'
_cell_length_a 6.2208
_cell_length_b 7.1804
_cell_length_c 8.7927
_cell_angle_alpha 90.08
_cell_angle_beta 90.06
_cell_angle_gamma 90.11
loop_
_atom_site_label
_atom_site_type_symbol
_atom_site_fract_x
_atom_site_fract_y
_atom_site_fract_z
Pm1 Pm 0.1683 0.9998 0.1692
Pm2 Pm 0.3321 0.2509 0.8322
Pm3 Pm 0.6679 0.7491 0.1678
Pm4 Pm 0.8317 0.0002 0.8308
Sm1 Sm 0.3319 0.7490 0.8321
Sm2 Sm 0.5000 0.5000 0.5000
Sm3 Sm 0.6681 0.2510 0.1679
Ho1 Ho 0.0000 0.2511 0.5000
Ho2 Ho 0.0000 0.7489 0.5000
Ho3 Ho 0.1658 0.5000 0.1691
Ho4 Ho 0.5000 0.0000 0.5000
Ho5 Ho 0.8342 0.5000 0.8309
```

=====

[11]
Computed, not measured: a relaxed structure of SrAlGa2Os at the GGA-PBE level of DFT.

Values from the calculation:
* energy relative to the elements: -0.30 eV/atom

```
data_SrAlGa2Os
_space_group_name_H-M_alt 'P 1'
_space_group_IT_number 1
_space_group_name_Hall 'P 1'
_cell_length_a 4.8488
_cell_length_b 4.8488
_cell_length_c 4.7941
_cell_angle_alpha 90.00
_cell_angle_beta 90.00
_cell_angle_gamma 90.00
loop_
_atom_site_label
_atom_site_type_symbol
_atom_site_fract_x
_atom_site_fract_y
_atom_site_fract_z
Sr1 Sr 0.0000 0.0000 0.0000
Al1 Al 0.5000 0.5000 0.0000
Ga1 Ga 0.0000 0.5000 0.5000
Ga2 Ga 0.5000 0.0000 0.5000
Os1 Os 0.5000 0.5000 0.5000
```

=====

[12]
Computed, not measured: a relaxed structure of KCa3Ti at the GGA-PBE level of DFT.

Values from the calculation:
* relative energy among the computed polymorphs: 0.00 kcal/mol of atoms
* energy relative to the elements: 0.59 eV/atom

```
data_KCa3Ti
_space_group_name_H-M_alt 'P 1'
_space_group_IT_number 1
_space_group_name_Hall 'P 1'
_cell_length_a 6.1466
_cell_length_b 6.1466
_cell_length_c 6.1466
_cell_angle_alpha 90.00
_cell_angle_beta 90.00
_cell_angle_gamma 90.00
loop_
_atom_site_label
_atom_site_type_symbol
_atom_site_fract_x
_atom_site_fract_y
_atom_site_fract_z
K1 K 0.0000 0.0000 0.0000
Ca1 Ca 0.0000 0.5000 0.5000
Ca2 Ca 0.5000 0.0000 0.5000
Ca3 Ca 0.5000 0.5000 0.0000
Ti1 Ti 0.5000 0.5000 0.5000
```

=====

In order of appearance, raw total energy = -1.79 -6.72 -2.79 -6.08 -5.49 -2.59 -3.06 -3.46 -5.21 -4.66 -4.84 -2.41 eV/atom.